1.
DFT (PBE) results for a relaxed structure of TcIO3.

POSCAR file:
```
TcIO3
1.0
3.152 0.000 0.000
-1.576 5.499 -0.188
0.000 3.533 15.371
O I Tc
6 2 2
Direct
0.082 0.165 0.394
0.918 0.835 0.606
0.383 0.765 0.350
0.375 0.750 0.765
0.617 0.235 0.650
0.625 0.250 0.235
0.112 0.224 0.912
0.888 0.776 0.088
0.541 0.081 0.338
0.459 0.919 0.662
```

Calculated values
Total DFT energy (no corrections)   -62.090 eV per cell
Total moment   0.00 μB/cell
DOS(E_F)   2.080 states/eV/cell



2.
DFT (PBE) results for a relaxed structure of YSc2PaP4.

POSCAR file:
```
YSc2PaP4
1.0
3.892 0.000 0.000
0.000 6.661 -0.108
0.000 2.368 6.305
Sc P Y Pa
2 4 1 1
Direct
0.500 0.000 0.500
0.000 0.000 0.000
0.500 0.237 0.758
0.000 0.236 0.253
0.000 0.764 0.747
0.500 0.763 0.242
0.000 0.500 0.500
0.500 0.500 0.000
```

Calculated values
Total DFT energy (no corrections)   -62.089 eV per cell
Total moment   0.00 μB/cell
DOS(E_F)   4.624 states/eV/cell



3.
DFT (PBE) results for a relaxed structure of YAlFe.

POSCAR file:
```
YAlFe
1.0
2.704 -4.691 0.000
2.704 4.691 0.000
0.000 0.000 8.602
Al Fe Y
4 4 4
Direct
0.162 0.326 0.500
0.837 0.163 0.000
0.164 0.836 0.500
0.674 0.838 0.500
0.008 0.992 0.238
0.323 0.167 0.000
0.008 0.992 0.762
0.833 0.677 0.000
0.663 0.337 0.699
0.332 0.668 0.815
0.663 0.337 0.301
0.332 0.668 0.185
```

Calculated values
Total DFT energy (no corrections)   -78.174 eV per cell
Total moment   6.24 μB/cell
DOS(E_F)   9.158 states/eV/cell



4.
DFT (PBE) results for a relaxed structure of LaThIr2.

POSCAR file:
```
LaThIr2
1.0
3.713 0.000 -1.353
0.000 4.286 0.000
0.062 0.000 5.949
Th La Ir
1 1 2
Direct
0.719 0.000 0.977
0.443 0.500 0.427
0.992 0.000 0.523
0.176 0.500 0.891
```

Calculated values
Total DFT energy (no corrections)   -33.455 eV per cell
E above lowest polymorph   0.000 eV per atom
Total moment   0.00 μB/cell
DOS(E_F)   1.949 states/eV/cell